(1)
The following is a PBE-GGA calculation of Tm3NpCo8 after structural relaxation, from Alexandria via LeMat-Bulk.

For the calculated volume, the calculation gives 533.2 Å³ per cell. The value obtained for the energy is -256.85 eV/cell. The density of states at the Fermi level is 46.2 states/eV/cell. Its magnetization is 3.66 μB per formula unit. The value obtained for the energy of formation is -0.201 eV/atom. The calculation puts the mass density at 11.35 g/cm³.

It has space group R3m (No. 160, hexagonal axes), with a = 5.0125 Å, b = 5.0125 Å, c = 24.5037 Å, α = 90.00°, β = 90.00° and γ = 120.00°. The asymmetric unit holds Tm at (0.0000, 0.0000, 0.0000), Tm at (0.0000, 0.0000, 0.1252), Tm at (0.0000, 0.0000, 0.6253), Np at (0.0000, 0.0000, 0.5002), Co at (0.0000, 0.0000, 0.3129), Co at (0.0000, 0.0000, 0.8130), Co at (0.9998, 0.4999, 0.5622) and Co at (0.0011, 0.5006, 0.0634).

=====

(2)
The following is a PBE-GGA calculation of La5Ge3O after structural relaxation, from Alexandria via LeMat-Bulk.

For the calculated volume, the calculation gives 977.5 Å³ per cell. The value obtained for the energy is -219.54 eV/cell. As for the uncorrected formation energy: -1.271 eV/atom. The density of states at the Fermi level is 27.3 states/eV/cell. Its magnetization is 0.01 μB per formula unit. The calculation puts the mass density at 6.31 g/cm³.

It has space group I4/mcm (No. 140), with a = 8.305 Å, b = 8.305 Å, c = 14.171 Å, α = 90.00°, β = 90.00° and γ = 90.00°. The asymmetric unit holds La at (0.000, 0.000, 0.000), La at (0.159, 0.341, 0.147), Ge at (0.000, 0.000, 0.250), Ge at (0.137, 0.363, 0.500) and O at (0.000, 0.500, 0.250).

=====

- magnetization of number 1 (Tm3NpCo8)?
  3.66 μB per formula unit